VASP calculation (GGA-PBE) on a geometry-optimized Mn2AgPd3 structure.

Unit cell a=2.984 b=2.984 c=10.539 alpha=90.00 beta=90.00 gamma=90.00
Last column: magnetic moment on the atom in μB.
Fractional positions:
Mn1 0.500 0.500 0.838  3.91
Mn2 0.500 0.500 0.162  3.91
Ag1 0.500 0.500 0.500  0.01
Pd1 0.000 0.000 0.000  0.36
Pd2 0.000 0.000 0.685  0.25
Pd3 0.000 0.000 0.315  0.25

Results
The calculated formation energy comes out at -170 meV/atom. The symmetry is No. 123. The value obtained for the total magnetization is 9.027 Bohr magnetons per cell.

VASP calculation (GGA-PBE) on a geometry-optimized Pu2Br13 structure.

Unit cell a=7.806 b=8.794 c=11.775 alpha=120.18 beta=91.23 gamma=106.28
Last column: magnetic moment on the atom in μB.
Fractional positions:
Br1 0.604 0.646 0.086  0.12
Br2 0.396 0.354 0.914  0.12
Br3 0.000 0.000 0.000  0.10
Br4 0.182 0.967 0.686  0.18
Br5 0.818 0.033 0.314  0.18
Br6 0.856 0.537 0.658  0.19
Br7 0.144 0.463 0.342  0.19
Br8 0.702 0.754 0.487  0.19
Br9 0.298 0.246 0.513  0.19
Br10 0.516 0.781 0.789  0.20
Br11 0.484 0.219 0.211  0.20
Br12 0.838 0.212 0.817  0.20
Br13 0.162 0.788 0.183  0.20
Pu1 0.844 0.873 0.735  -3.89
Pu2 0.156 0.127 0.265  -3.89

Results
The symmetry is No. 2. The value obtained for the total magnetization is 4.899 Bohr magnetons per cell. For the formation energy (no corrections), the calculation gives -0.78 eV/atom.

VASP calculation (GGA-PBE) on a geometry-optimized CrGeMo structure.

Unit cell a=2.741 b=4.242 c=4.242 alpha=120.00 beta=90.00 gamma=90.00
Fractional positions:
Cr1 0.594 0.333 0.667
Mo1 0.933 0.000 0.000
Ge1 0.473 0.667 0.333

Results
The calculated formation energy comes out at 104 meV/atom. The symmetry is No. 156. The value obtained for the total magnetization is 0.000 Bohr magnetons per cell.

VASP calculation (GGA-PBE) on a geometry-optimized HfAgPt6 structure.

Unit cell a=4.025 b=4.025 c=8.005 alpha=90.00 beta=90.00 gamma=90.00
Fractional positions:
Hf1 0.000 0.000 0.000
Ag1 0.000 0.000 0.500
Pt1 0.500 0.500 0.000
Pt2 0.500 0.500 0.500
Pt3 0.500 0.000 0.246
Pt4 0.500 0.000 0.754
Pt5 0.000 0.500 0.246
Pt6 0.000 0.500 0.754

Results
The calculated formation energy comes out at -568 meV/atom. The symmetry is No. 123. The value obtained for the total magnetization is 0.001 Bohr magnetons per cell.

VASP calculation (GGA-PBE) on a geometry-optimized YSi3Br structure.

Unit cell a=5.536 b=5.536 c=5.536 alpha=90.00 beta=90.00 gamma=90.00
Last column: magnetic moment on the atom in μB.
Fractional positions:
Y1 0.000 0.000 0.000  0.04
Si1 0.000 0.500 0.000  0.03
Si2 0.000 0.000 0.500  0.01
Si3 0.500 0.000 0.000  0.04
Br1 0.500 0.500 0.500  0.13

Results
As for the excess energy over the best structure of this formula in the dataset: 0.319 eV per atom. The symmetry is No. 221. The value obtained for the total magnetization is 0.537 Bohr magnetons per cell. For the formation energy (no corrections), the calculation gives 1.14 eV/atom.

VASP calculation (GGA-PBE) on a geometry-optimized PmB2C structure.

Unit cell a=6.859 b=6.859 c=7.887 alpha=90.00 beta=90.00 gamma=90.00
Fractional positions:
Pm1 0.309 0.809 0.750
Pm2 0.191 0.309 0.250
Pm3 0.809 0.691 0.250
Pm4 0.691 0.191 0.750
Pm5 0.691 0.191 0.250
Pm6 0.809 0.691 0.750
Pm7 0.191 0.309 0.750
Pm8 0.309 0.809 0.250
B1 0.150 0.035 0.000
B2 0.535 0.650 0.500
B3 0.850 0.965 0.000
B4 0.350 0.535 0.000
B5 0.650 0.465 0.000
B6 0.035 0.850 0.500
B7 0.965 0.150 0.500
B8 0.465 0.350 0.500
B9 0.097 0.596 0.000
B10 0.404 0.097 0.500
B11 0.596 0.903 0.500
B12 0.597 0.904 0.000
B13 0.403 0.096 0.000
B14 0.903 0.404 0.000
B15 0.096 0.597 0.500
B16 0.904 0.403 0.500
C1 0.177 0.041 0.500
C2 0.677 0.459 0.500
C3 0.323 0.541 0.500
C4 0.959 0.177 0.000
C5 0.041 0.823 0.000
C6 0.541 0.677 0.000
C7 0.823 0.959 0.500
C8 0.459 0.323 0.000

Results
The calculated formation energy comes out at -440 meV/atom. As for the excess energy over the best structure of this formula in the dataset: 0.000 eV per atom. The symmetry is No. 135. The value obtained for the total magnetization is 0.000 Bohr magnetons per cell.

VASP calculation (GGA-PBE) on a geometry-optimized TiCo2Se2 structure.

Unit cell a=4.500 b=4.500 c=4.947 alpha=62.94 beta=62.94 gamma=90.00
Fractional positions:
Co1 0.350 0.350 0.301
Co2 0.650 0.650 0.699
Se1 0.750 0.250 0.500
Se2 0.250 0.750 0.500
Ti1 0.000 0.000 0.000

Results
As for the excess energy over the best structure of this formula in the dataset: 0.084 eV per atom. The symmetry is No. 139. The value obtained for the total magnetization is 0.035 Bohr magnetons per cell. For the formation energy (no corrections), the calculation gives 0.00 eV/atom.

VASP calculation (GGA-PBE) on a geometry-optimized PrHo2As3 structure.

Unit cell a=4.172 b=5.909 c=7.224 alpha=114.14 beta=106.78 gamma=90.00
Fractional positions:
Pr1 0.000 0.500 0.000
Ho1 0.666 0.166 0.331
Ho2 0.334 0.834 0.669
As1 0.327 0.327 0.653
As2 0.000 0.000 0.000
As3 0.673 0.673 0.347

Results
The calculated formation energy comes out at -1502 meV/atom. The symmetry is No. 71. The value obtained for the total magnetization is 0.000 Bohr magnetons per cell.

VASP calculation (GGA-PBE) on a geometry-optimized KFe3Ir structure.

Unit cell a=4.835 b=4.835 c=4.835 alpha=90.00 beta=90.00 gamma=90.00
Last column: magnetic moment on the atom in μB.
Fractional positions:
K1 0.500 0.500 0.500  -0.01
Ir1 0.000 0.000 0.000  0.64
Fe1 0.000 0.500 0.000  3.38
Fe2 0.000 0.000 0.500  3.60
Fe3 0.500 0.000 0.000  2.69

Results
The calculated formation energy comes out at 998 meV/atom. As for the excess energy over the best structure of this formula in the dataset: 0.000 eV per atom. The symmetry is No. 221. The value obtained for the total magnetization is 10.499 Bohr magnetons per cell.

VASP calculation (GGA-PBE) on a geometry-optimized LaScSb2 structure.

Unit cell a=5.211 b=5.211 c=4.079 alpha=90.00 beta=90.00 gamma=79.13
Fractional positions:
La1 0.000 0.500 0.500
Sb1 0.000 0.000 0.000
Sb2 0.500 0.500 0.000
Sc1 0.500 0.000 0.500

Results
As for the excess energy over the best structure of this formula in the dataset: 0.279 eV per atom. The symmetry is No. 65. The value obtained for the total magnetization is 0.000 Bohr magnetons per cell. For the formation energy (no corrections), the calculation gives -0.81 eV/atom.

VASP calculation (GGA-PBE) on a geometry-optimized Pr5NdHo4 structure.

Unit cell a=6.387 b=8.010 c=8.010 alpha=80.86 beta=66.51 gamma=66.51
Fractional positions:
Pr1 0.803 0.384 0.914
Pr2 0.186 0.914 0.616
Pr3 0.717 0.086 0.384
Pr4 0.100 0.616 0.086
Pr5 0.681 0.000 0.000
Nd1 0.222 0.000 0.000
Ho1 0.402 0.398 0.699
Ho2 0.800 0.699 0.602
Ho3 0.101 0.301 0.398
Ho4 0.499 0.602 0.301

Results
The calculated formation energy comes out at 278 meV/atom. As for the excess energy over the best structure of this formula in the dataset: 0.262 eV per atom. The symmetry is No. 79. The value obtained for the total magnetization is 0.005 Bohr magnetons per cell.